1.
Compound: AcThCr2O8
Source: the Alexandria database
Functional: PBE with a Hubbard U
Structure: relaxed

Lattice parameters (Å, degrees): 6.289 6.289 6.289 105.93 105.93 116.80
Fractional coordinates of all 12 atoms:
Ac 0.000 0.000 0.000
Th 0.250 0.750 0.500
Cr 0.500 0.500 0.000
Cr 0.750 0.250 0.500
O 0.341 0.159 0.818
O 0.341 0.523 0.182
O 0.388 0.059 0.329
O 0.477 0.659 0.818
O 0.730 0.059 0.671
O 0.841 0.659 0.182
O 0.941 0.270 0.329
O 0.941 0.612 0.671

Summary:
E, eV/atom: -7.99

***

2.
Compound: Rb2TmMnF6
Source: the Alexandria database
Functional: PBE with a Hubbard U
Structure: relaxed

Lattice parameters (Å, degrees): 6.484 6.484 6.484 60.00 60.00 60.00
Fractional coordinates of all 10 atoms:
Rb 0.250 0.250 0.250
Rb 0.750 0.750 0.750
Tm 0.000 0.000 0.000
Mn 0.500 0.500 0.500
F 0.235 0.235 0.765
F 0.235 0.765 0.235
F 0.235 0.765 0.765
F 0.765 0.235 0.235
F 0.765 0.235 0.765
F 0.765 0.765 0.235

Summary:
E, eV/atom: -5.50
Density of states at the Fermi level, states/eV/f.u.: 2.04

***

Question: What is the formula in the second record?
Answer: Rb2TmMnF6

***

Question: Among the records above, which one has the lowest E?
Answer: AcThCr2O8

***

Question: Which formula does entry 2 have?
Answer: Rb2TmMnF6